Record 1
This record from the Alexandria database describes a geometry-optimized KHgPCl2 structure. The functional is GGA-PBE.

Cell lengths 5.765, 5.765, 4.930 Å; angles 90.00, 90.00, 90.00 degrees
Last column: magnetic moment on the atom in μB.
Fractional positions:
P  0.000  0.000  0.500  0.77
K  0.500  0.500  0.500  0.00
Hg  0.000  0.000  0.000  0.04
Cl  0.000  0.500  0.000  0.07
Cl  0.500  0.000  0.000  0.07

Computed properties:
**Offset from the most stable computed form**: 0 meV per atom
**Crystal system**: tetragonal
**Raw formation energy**: -38 kJ per mole of atoms
**SG**: P4/mmm, No. 123



Record 2
This record from the Alexandria database describes a geometry-optimized Pm4NdTm3 structure. The functional is GGA-PBE.

Cell lengths 6.232, 3.611, 12.176 Å; angles 98.54, 104.84, 90.00 degrees
Fractional positions:
Tm  0.000  0.500  0.000
Tm  0.045  0.876  0.753
Tm  0.955  0.124  0.247
Nd  0.500  0.000  0.000
Pm  0.458  0.626  0.250
Pm  0.542  0.374  0.750
Pm  0.246  0.748  0.495
Pm  0.754  0.252  0.505

Computed properties:
**Offset from the most stable computed form**: 0 meV per atom
**Crystal system**: monoclinic
**Formation energy from the elements**: 0.006 eV/atom
**SG**: C2/m, No. 12



Record 3
This record from the Alexandria database describes a geometry-optimized LaTa2Pb structure. The functional is GGA-PBE.

Cell lengths 4.005, 4.922, 4.721 Å; angles 90.00, 90.00, 90.00 degrees
Fractional positions:
La  0.500  0.000  0.500
Pb  0.000  0.500  0.500
Ta  0.000  0.000  0.000
Ta  0.500  0.500  0.000

Computed properties:
**Crystal system**: orthorhombic
**Formation energy from the elements**: 0.562 eV/atom
**SG**: Pmmm, No. 47



Record 4
This record from the Alexandria database describes a geometry-optimized LaTl2SnRh structure. The functional is GGA-PBE.

Cell lengths 5.427, 6.171, 5.427 Å; angles 90.00, 90.00, 90.00 degrees
Fractional positions:
Tl  0.000  0.000  0.500
Tl  0.500  0.000  0.000
Rh  0.500  0.500  0.500
Sn  0.000  0.000  0.000
La  0.000  0.500  0.000

Computed properties:
**Crystal system**: tetragonal
**Formation energy from the elements**: 0.825 eV/atom
**SG**: P4/mmm, No. 123



Record 5
This record from the Alexandria database describes a geometry-optimized Sr2ZrTl structure. The functional is GGA-PBE.

Cell lengths 7.914, 6.276, 3.629 Å; angles 89.98, 62.75, 119.88 degrees
Last column: magnetic moment on the atom in μB.
Fractional positions:
Sr  0.000  0.000  0.000  0.03
Sr  0.500  0.000  0.500  0.03
Tl  0.000  0.500  0.500  -0.02
Zr  0.500  0.500  0.000  0.63

Computed properties:
**Offset from the most stable computed form**: 150 meV per atom
**Crystal system**: orthorhombic
**Formation energy from the elements**: 0.272 eV/atom
**SG**: Cmmm, No. 65



Record 6
This record from the Alexandria database describes a geometry-optimized DySc2Nb structure. The functional is GGA-PBE.

Cell lengths 3.229, 3.229, 10.727 Å; angles 81.34, 81.34, 60.00 degrees
Fractional positions:
Dy  0.501  0.501  0.498
Sc  0.075  0.075  0.776
Sc  0.258  0.258  0.225
Nb  0.666  0.666  0.001

Computed properties:
**Offset from the most stable computed form**: 21 meV per atom
**Crystal system**: trigonal
**Formation energy from the elements**: 0.168 eV/atom
**SG**: R3m, No. 160



Record 7
This record from the Alexandria database describes a geometry-optimized AcPrTe6 structure. The functional is GGA-PBE.

Cell lengths 4.455, 4.456, 14.232 Å; angles 90.00, 99.01, 90.00 degrees
Fractional positions:
Ac  0.172  0.500  0.345
Pr  0.829  0.000  0.659
Te  0.575  0.500  0.150
Te  0.421  0.000  0.843
Te  0.296  0.500  0.592
Te  0.710  0.000  0.420
Te  0.921  0.500  0.843
Te  0.075  0.000  0.150

Computed properties:
**Crystal system**: orthorhombic
**Raw formation energy**: -99 kJ per mole of atoms
**SG**: Amm2, No. 38



Record 8
This record from the Alexandria database describes a geometry-optimized Na5B7C3 structure. The functional is GGA-PBE.

Cell lengths 7.691, 7.691, 9.057 Å; angles 107.74, 107.74, 38.07 degrees
Fractional positions:
Na  0.800  0.799  0.999
Na  0.901  0.900  0.501
Na  0.599  0.601  0.999
Na  0.700  0.701  0.502
Na  0.399  0.401  0.998
Na  0.500  0.501  0.500
Na  0.199  0.200  0.000
Na  0.299  0.301  0.502
Na  0.999  0.000  0.998
Na  0.099  0.101  0.501
B  0.614  0.288  0.748
B  0.702  0.998  0.750
B  0.513  0.187  0.250
B  0.370  0.732  0.250
B  0.412  0.086  0.752
B  0.489  0.802  0.751
B  0.352  0.963  0.250
B  0.272  0.629  0.749
B  0.109  0.780  0.250
B  0.968  0.330  0.250
B  0.071  0.428  0.751
B  0.920  0.591  0.250
B  0.898  0.211  0.749
B  0.737  0.348  0.250
C  0.582  0.928  0.250
C  0.177  0.523  0.250
C  0.215  0.884  0.749
C  0.013  0.687  0.750
C  0.772  0.118  0.250
C  0.816  0.485  0.751

Computed properties:
**Offset from the most stable computed form**: 35 meV per atom
**Crystal system**: monoclinic
**Formation energy from the elements**: 0.148 eV/atom
**SG**: C2, No. 5



Record 9
This record from the Alexandria database describes a geometry-optimized ErTm2Pt structure. The functional is GGA-PBE.

Cell lengths 6.429, 6.973, 9.402 Å; angles 90.00, 90.00, 90.00 degrees
Fractional positions:
Er  0.627  0.525  0.250
Er  0.873  0.025  0.250
Er  0.373  0.475  0.750
Er  0.127  0.975  0.750
Tm  0.180  0.681  0.060
Tm  0.320  0.181  0.440
Tm  0.820  0.319  0.560
Tm  0.680  0.819  0.940
Tm  0.820  0.319  0.940
Tm  0.680  0.819  0.560
Tm  0.180  0.681  0.440
Tm  0.320  0.181  0.060
Pt  0.048  0.391  0.250
Pt  0.452  0.891  0.250
Pt  0.952  0.609  0.750
Pt  0.548  0.109  0.750

Computed properties:
**Offset from the most stable computed form**: 0 meV per atom
**Crystal system**: orthorhombic
**Formation energy from the elements**: -0.747 eV/atom
**SG**: Pnma, No. 62



Record 10
This record from the Alexandria database describes a geometry-optimized RbBiB2H8 structure. The functional is GGA-PBE.

Cell lengths 5.053, 5.053, 7.435 Å; angles 70.13, 70.13, 60.00 degrees
Last column: magnetic moment on the atom in μB.
Fractional positions:
Rb  0.500  0.500  0.500  0.00
Bi  0.000  0.000  0.000  0.61
B  0.259  0.259  0.222  0.03
B  0.741  0.741  0.778  0.03
H  0.199  0.199  0.402  0.00
H  0.414  0.413  0.159  0.01
H  0.801  0.801  0.598  0.00
H  0.014  0.414  0.159  0.01
H  0.986  0.586  0.841  0.01
H  0.413  0.014  0.159  0.01
H  0.587  0.986  0.841  0.01
H  0.586  0.587  0.841  0.01

Computed properties:
**Crystal system**: trigonal
**Total DFT energy (no corrections)**: -3.76 eV per atom
**SG**: R-3m, No. 166



Record 11
This record from the Alexandria database describes a geometry-optimized Zr5Pa structure. The functional is GGA-PBE.

Cell lengths 3.140, 6.225, 8.604 Å; angles 60.37, 79.48, 75.39 degrees
Fractional positions:
Zr  0.653  0.002  0.692
Zr  0.328  0.999  0.346
Zr  0.393  0.515  0.699
Zr  0.063  0.502  0.371
Zr  0.737  0.485  0.040
Pa  0.993  0.996  0.017

Computed properties:
**Offset from the most stable computed form**: 0 meV per atom
**Crystal system**: monoclinic
**Formation energy from the elements**: 0.040 eV/atom
**SG**: Cm, No. 8



Record 12
This record from the Alexandria database describes a geometry-optimized PrNd3Tl2 structure. The functional is GGA-PBE.

Cell lengths 5.298, 6.942, 10.389 Å; angles 90.00, 90.00, 90.00 degrees
Fractional positions:
Pr  0.500  0.551  0.544
Pr  0.500  0.051  0.456
Nd  0.000  0.450  0.956
Nd  0.000  0.950  0.044
Nd  0.500  0.680  0.183
Nd  0.500  0.180  0.817
Nd  0.000  0.320  0.315
Nd  0.000  0.820  0.685
Tl  0.500  0.708  0.865
Tl  0.500  0.208  0.135
Tl  0.000  0.291  0.636
Tl  0.000  0.791  0.364

Computed properties:
**Offset from the most stable computed form**: 0 meV per atom
**Crystal system**: orthorhombic
**Formation energy from the elements**: -0.273 eV/atom
**SG**: Pmc2_1, No. 26



Record 13
This record from the Alexandria database describes a geometry-optimized BaLiGe structure. The functional is GGA-PBE.

Cell lengths 4.511, 4.514, 11.154 Å; angles 78.62, 78.54, 60.06 degrees
Fractional positions:
Ba  0.732  0.235  0.308
Ba  0.268  0.765  0.692
Li  0.156  0.657  0.033
Li  0.844  0.343  0.967
Ge  0.463  0.964  0.113
Ge  0.537  0.036  0.887

Computed properties:
**Crystal system**: triclinic
**Formation energy from the elements**: -0.397 eV/atom
**SG**: P-1, No. 2



Record 14
This record from the Alexandria database describes a geometry-optimized KAu2F8 structure. The functional is GGA-PBE.

Cell lengths 4.273, 7.595, 7.595 Å; angles 120.00, 90.00, 90.00 degrees
Last column: magnetic moment on the atom in μB.
Fractional positions:
K  0.500  0.000  0.000  0.00
Au  0.805  0.667  0.333  0.62
Au  0.195  0.333  0.667  0.62
F  0.694  0.333  0.667  0.00
F  0.306  0.667  0.333  0.00
F  0.191  0.179  0.358  0.26
F  0.809  0.821  0.642  0.26
F  0.809  0.358  0.179  0.26
F  0.191  0.642  0.821  0.26
F  0.191  0.179  0.821  0.26
F  0.809  0.821  0.179  0.26

Computed properties:
**Crystal system**: trigonal
**Raw formation energy**: -100 kJ per mole of atoms
**SG**: P-3m1, No. 164



Record 15
This record from the Alexandria database describes a geometry-optimized CuSi structure. The functional is GGA-PBE.

Cell lengths 2.571, 2.787, 7.426 Å; angles 90.00, 99.89, 90.00 degrees
Fractional positions:
Si  0.574  0.750  0.650
Si  0.426  0.250  0.350
Cu  0.814  0.750  0.125
Cu  0.186  0.250  0.875

Computed properties:
**Crystal system**: monoclinic
**Raw formation energy**: 10 kJ per mole of atoms
**SG**: P2_1/m, No. 11



Record 16
This record from the Alexandria database describes a geometry-optimized Cs2AlTl structure. The functional is GGA-PBE.

Cell lengths 6.439, 6.439, 6.439 Å; angles 60.00, 60.00, 60.00 degrees
Fractional positions:
Cs  0.250  0.250  0.250
Cs  0.750  0.750  0.750
Tl  0.500  0.500  0.500
Al  0.000  0.000  0.000

Computed properties:
**Offset from the most stable computed form**: 185 meV per atom
**Crystal system**: cubic
**Formation energy from the elements**: 0.380 eV/atom
**SG**: Fm-3m, No. 225



Record 17
This record from the Alexandria database describes a geometry-optimized Er2Sc4Sn3O2 structure. The functional is GGA-PBE.

Cell lengths 4.388, 4.388, 12.477 Å; angles 100.13, 100.13, 90.00 degrees
Fractional positions:
Er  0.308  0.308  0.615
Er  0.692  0.692  0.385
Sc  0.417  0.917  0.835
Sc  0.917  0.417  0.835
Sc  0.083  0.583  0.165
Sc  0.583  0.083  0.165
Sn  0.000  0.000  0.000
Sn  0.176  0.176  0.351
Sn  0.824  0.824  0.649
O  0.406  0.406  0.812
O  0.594  0.594  0.188

Computed properties:
**Crystal system**: tetragonal
**Raw formation energy**: -149 kJ per mole of atoms
**SG**: I4/mmm, No. 139



Record 18
This record from the Alexandria database describes a geometry-optimized YbSi2Os2 structure. The functional is GGA-PBE.

Cell lengths 5.716, 5.716, 5.716 Å; angles 137.35, 137.35, 61.90 degrees
Last column: magnetic moment on the atom in μB.
Fractional positions:
Yb  0.000  0.000  0.000  0.23
Si  0.372  0.372  0.000  0.00
Si  0.628  0.628  0.000  0.00
Os  0.250  0.750  0.500  0.01
Os  0.750  0.250  0.500  0.01

Computed properties:
**Crystal system**: tetragonal
**Raw formation energy**: -58 kJ per mole of atoms
**SG**: I4/mmm, No. 139



Record 19
This record from the Alexandria database describes a geometry-optimized Rb2Mg structure. The functional is GGA-PBE.

Cell lengths 9.503, 9.503, 9.503 Å; angles 90.00, 90.00, 90.00 degrees
Fractional positions:
Mg  0.000  0.000  0.000
Mg  0.000  0.500  0.500
Mg  0.500  0.000  0.500
Mg  0.500  0.500  0.000
Rb  0.153  0.653  0.847
Rb  0.153  0.847  0.347
Rb  0.347  0.153  0.847
Rb  0.347  0.347  0.347
Rb  0.653  0.653  0.653
Rb  0.653  0.847  0.153
Rb  0.847  0.153  0.653
Rb  0.847  0.347  0.153

Computed properties:
**Offset from the most stable computed form**: 112 meV per atom
**Crystal system**: cubic
**Formation energy from the elements**: 0.271 eV/atom
**SG**: Pa-3, No. 205



Record 20
This record from the Alexandria database describes a geometry-optimized ZrTcPt structure. The functional is GGA-PBE.

Cell lengths 4.415, 4.415, 4.415 Å; angles 60.00, 60.00, 60.00 degrees
Fractional positions:
Pt  0.750  0.750  0.750
Tc  0.000  0.000  0.000
Zr  0.500  0.500  0.500

Computed properties:
**Offset from the most stable computed form**: 362 meV per atom
**Crystal system**: cubic
**Formation energy from the elements**: 0.078 eV/atom
**SG**: F-43m, No. 216